AcHoS3 | Alexandria | GGA-PBE | relaxed; calculated total energy = -6.348 eV/atom; magnetic moment = 0.00 μB per formula unit; E_form (uncorrected) = -10.67 eV/f.u.; space group = Pnma; distance to the lowest polymorph of the same formula = 0.00 kJ/mol of atoms
1.0
8.2852 0.0000 0.0000
0.0000 4.0853 0.0000
0.0000 0.0000 14.8196
Ac Ho S
4 4 12
direct
0.1262 0.2500 0.1936 Ac
0.3738 0.7500 0.6936 Ac
0.6262 0.2500 0.3064 Ac
0.8738 0.7500 0.8064 Ac
0.1876 0.7500 0.4546 Ho
0.3124 0.2500 0.9546 Ho
0.6876 0.7500 0.0454 Ho
0.8124 0.2500 0.5454 Ho
0.0006 0.2500 0.3902 S
0.1590 0.7500 0.0436 S
0.1614 0.2500 0.7918 S
0.3386 0.7500 0.2918 S
0.3410 0.2500 0.5436 S
0.4994 0.7500 0.8902 S
0.5006 0.2500 0.1098 S
0.6590 0.7500 0.4564 S
0.6614 0.2500 0.7082 S
0.8386 0.7500 0.2082 S
0.8410 0.2500 0.9564 S
0.9994 0.7500 0.6098 S

LaLuZnGe | Alexandria | GGA-PBE | relaxed; calculated total energy = -4.344 eV/atom; D(E_F) = 2.094 states/eV/f.u.; energy relative to the elements = -0.5088 eV/atom; magnetic moment = 0.00 μB per formula unit; space group = F-43m
1.0
7.2280 0.0000 0.0000
0.0000 7.2280 0.0000
0.0000 0.0000 7.2280
La Lu Zn Ge
4 4 4 4
direct
0.0000 0.0000 0.0000 La
0.0000 0.5000 0.5000 La
0.5000 0.0000 0.5000 La
0.5000 0.5000 0.0000 La
0.0000 0.0000 0.5000 Lu
0.0000 0.5000 0.0000 Lu
0.5000 0.0000 0.0000 Lu
0.5000 0.5000 0.5000 Lu
0.2500 0.2500 0.7500 Zn
0.2500 0.7500 0.2500 Zn
0.7500 0.2500 0.2500 Zn
0.7500 0.7500 0.7500 Zn
0.2500 0.2500 0.2500 Ge
0.2500 0.7500 0.7500 Ge
0.7500 0.2500 0.7500 Ge
0.7500 0.7500 0.2500 Ge

Ac2Ga2Pt15 | Alexandria | GGA-PBE | relaxed; calculated total energy = -6.058 eV/atom; D(E_F) = 14.004 states/eV/f.u.; energy relative to the elements = -0.5380 eV/atom; magnetic moment = 0.00 μB per formula unit; space group = R-3m
1.0
4.7270 2.7291 4.4893
-4.7270 2.7291 4.4893
0.0000 -5.4582 4.4893
Ac Ga Pt
2 2 15
direct
0.1547 0.1547 0.1547 Ac
0.8453 0.8453 0.8453 Ac
0.4018 0.4018 0.4018 Ga
0.5982 0.5982 0.5982 Ga
0.0000 0.5000 0.5000 Pt
0.1602 0.1602 0.6586 Pt
0.1602 0.6586 0.1602 Pt
0.1868 0.5000 0.8132 Pt
0.1868 0.8132 0.5000 Pt
0.3414 0.8398 0.8398 Pt
0.5000 0.0000 0.5000 Pt
0.5000 0.1868 0.8132 Pt
0.5000 0.5000 0.0000 Pt
0.5000 0.8132 0.1868 Pt
0.6586 0.1602 0.1602 Pt
0.8132 0.1868 0.5000 Pt
0.8132 0.5000 0.1868 Pt
0.8398 0.3414 0.8398 Pt
0.8398 0.8398 0.3414 Pt

PmNiS2 | Alexandria | GGA-PBE | relaxed; calculated total energy = -5.098 eV/atom; D(E_F) = 3.270 states/eV/f.u.; magnetic moment = 0.00 μB per formula unit; E_form (uncorrected) = -1.60 eV/f.u.; space group = R-3m
1.0
3.5211 0.0000 0.0000
-1.7606 3.0494 0.0000
0.0000 0.0000 23.4654
Pm Ni S
3 3 6
direct
0.0000 0.0000 0.0000 Pm
0.3333 0.6667 0.6667 Pm
0.6667 0.3333 0.3333 Pm
0.0000 0.0000 0.5000 Ni
0.3333 0.6667 0.1667 Ni
0.6667 0.3333 0.8333 Ni
0.0000 0.0000 0.1174 S
0.0000 0.0000 0.8826 S
0.3333 0.6667 0.5493 S
0.3333 0.6667 0.7840 S
0.6667 0.3333 0.2160 S
0.6667 0.3333 0.4507 S

LiCaMn2 | Alexandria | GGA-PBE | relaxed; calculated total energy = -4.985 eV/atom; D(E_F) = 5.350 states/eV/f.u.; energy relative to the elements = 0.5786 eV/atom; magnetic moment = 7.33 μB per formula unit; space group = I4/mmm; distance to the lowest polymorph of the same formula = 24.18 kJ/mol of atoms
1.0
4.1112 0.0000 0.0000
0.0000 4.1112 0.0000
0.0000 0.0000 9.3684
Li Ca Mn
2 2 4
direct
0.0000 0.0000 0.0000 Li
0.5000 0.5000 0.5000 Li
0.0000 0.0000 0.5000 Ca
0.5000 0.5000 0.0000 Ca
0.0000 0.5000 0.2500 Mn
0.0000 0.5000 0.7500 Mn
0.5000 0.0000 0.2500 Mn
0.5000 0.0000 0.7500 Mn

KSr2NiHg | Alexandria | GGA-PBE | relaxed; calculated total energy = -2.146 eV/atom; D(E_F) = 2.233 states/eV/f.u.; energy relative to the elements = -0.0368 eV/atom; magnetic moment = 0.00 μB per formula unit; space group = P4/mmm
1.0
5.8520 0.0000 0.0000
0.0000 5.8520 0.0000
0.0000 0.0000 5.2648
K Sr Ni Hg
1 2 1 1
direct
0.0000 0.0000 0.0000 K
0.0000 0.5000 0.5000 Sr
0.5000 0.0000 0.5000 Sr
0.5000 0.5000 0.5000 Ni
0.5000 0.5000 0.0000 Hg

Sr5TlZn | Alexandria | GGA-PBE | relaxed; calculated total energy = -1.793 eV/atom; D(E_F) = 8.425 states/eV/f.u.; energy relative to the elements = -0.0712 eV/atom; magnetic moment = 0.00 μB per formula unit; space group = C2/c
1.0
6.7203 -3.9952 0.0000
6.7203 3.9952 0.0000
-4.5025 0.0000 11.6137
Sr Tl Zn
10 2 2
direct
0.0314 0.9686 0.7500 Sr
0.0502 0.3994 0.6454 Sr
0.2305 0.5419 0.9886 Sr
0.3994 0.0502 0.1454 Sr
0.4581 0.7695 0.5114 Sr
0.5419 0.2305 0.4886 Sr
0.6006 0.9498 0.8546 Sr
0.7695 0.4581 0.0114 Sr
0.9498 0.6006 0.3546 Sr
0.9686 0.0314 0.2500 Sr
0.4643 0.5357 0.7500 Tl
0.5357 0.4643 0.2500 Tl
0.0000 0.0000 0.0000 Zn
0.0000 0.0000 0.5000 Zn

K2AlCuBr6 | Alexandria | GGA-PBE | relaxed; calculated total energy = -3.146 eV/atom; magnetic moment = 0.10 μB per formula unit; E_form (uncorrected) = -11.39 eV/f.u.; space group = P-3m1
1.0
7.4240 0.0000 0.0000
-3.7120 6.4294 0.0000
0.0000 0.0000 6.4856
K Al Cu Br
2 1 1 6
direct
0.3333 0.6667 0.3071 K
0.6667 0.3333 0.6929 K
0.0000 0.0000 0.5000 Al
0.0000 0.0000 0.0000 Cu
0.1591 0.3182 0.7302 Br
0.1591 0.8409 0.7302 Br
0.3182 0.1591 0.2698 Br
0.6818 0.8409 0.7302 Br
0.8409 0.1591 0.2698 Br
0.8409 0.6818 0.2698 Br